1.
VASP calculation (GGA-PBEsol) on a relaxed Sc2Tl3 crystal.

ΔH_f (0 K): -183 meV/atom
E_tot: -4.40 eV/atom
Magnetization: 0.000 Bohr magnetons per cell

abc: 4.883 4.883 6.090
angles: 90.00 90.00 120.00
Sites, in units of the cell vectors:
Sc  0.333  0.667  0.343
Sc  0.667  0.333  0.657
Tl  0.000  0.000  0.500
Tl  0.333  0.667  0.860
Tl  0.667  0.333  0.140

=====

2.
VASP calculation (GGA-PBEsol) on a relaxed Sc2Tl crystal.

ΔH_f (0 K): -294 meV/atom
E_tot: -5.57 eV/atom
Magnetization: 2.620 Bohr magnetons per cell

abc: 8.211 8.211 3.529
angles: 90.00 90.00 120.00
Sites, in units of the cell vectors:
Sc  0.000  0.285  0.000
Sc  0.000  0.619  0.500
Sc  0.285  0.000  0.000
Sc  0.381  0.381  0.500
Sc  0.619  0.000  0.500
Sc  0.715  0.715  0.000
Tl  0.000  0.000  0.500
Tl  0.333  0.667  0.000
Tl  0.667  0.333  0.000

=====

3.
VASP calculation (GGA-PBEsol) on a relaxed ScTl5 crystal.

ΔH_f (0 K): -42 meV/atom
E_tot: -3.33 eV/atom
Magnetization: 0.001 Bohr magnetons per cell
Offset from the most stable computed form: 17 meV/atom

abc: 6.225 6.225 8.146
angles: 109.94 109.94 31.90
Sites, in units of the cell vectors:
Sc  0.000  0.000  0.000
Tl  0.297  0.297  0.045
Tl  0.301  0.301  0.642
Tl  0.589  0.589  0.754
Tl  0.682  0.682  0.285
Tl  0.978  0.978  0.398

=====

4.
VASP calculation (GGA-PBEsol) on a relaxed ScTl5 crystal.

ΔH_f (0 K): -59 meV/atom
E_tot: -3.35 eV/atom
Magnetization: 0.002 Bohr magnetons per cell
Offset from the most stable computed form: 0 meV/atom

abc: 3.476 3.476 12.971
angles: 90.00 90.00 90.00
Sites, in units of the cell vectors:
Sc  0.000  0.000  0.000
Tl  0.000  0.000  0.317
Tl  0.000  0.000  0.683
Tl  0.500  0.500  0.145
Tl  0.500  0.500  0.500
Tl  0.500  0.500  0.855

=====

5.
VASP calculation (GGA-PBEsol) on a relaxed ScTl8 crystal.

ΔH_f (0 K): 7 meV/atom
E_tot: -3.06 eV/atom
Magnetization: 0.000 Bohr magnetons per cell

abc: 7.492 7.492 7.492
angles: 95.71 95.71 143.24
Sites, in units of the cell vectors:
Sc  0.000  0.000  0.000
Tl  0.000  0.330  0.330
Tl  0.000  0.670  0.670
Tl  0.330  0.000  0.330
Tl  0.336  0.336  0.672
Tl  0.336  0.664  0.000
Tl  0.664  0.336  0.000
Tl  0.664  0.664  0.328
Tl  0.670  0.000  0.670

=====

6.
VASP calculation (GGA-PBEsol) on a relaxed Sc2Tl crystal.

ΔH_f (0 K): 23 meV/atom
E_tot: -5.26 eV/atom
Magnetization: 0.222 Bohr magnetons per cell

abc: 10.834 10.834 10.834
angles: 163.13 156.62 28.98
Sites, in units of the cell vectors:
Sc  0.297  0.047  0.250
Sc  0.436  0.186  0.250
Sc  0.564  0.814  0.750
Sc  0.703  0.953  0.750
Tl  0.141  0.391  0.750
Tl  0.859  0.609  0.250

=====

7.
VASP calculation (GGA-PBEsol) on a relaxed Sc5Tl3 crystal.

ΔH_f (0 K): -346 meV/atom
E_tot: -5.46 eV/atom
Magnetization: 0.001 Bohr magnetons per cell
Offset from the most stable computed form: 0 meV/atom

abc: 8.407 8.407 6.037
angles: 90.00 90.00 120.00
Sites, in units of the cell vectors:
Sc  0.000  0.234  0.250
Sc  0.000  0.766  0.750
Sc  0.234  0.000  0.250
Sc  0.234  0.234  0.750
Sc  0.333  0.667  0.000
Sc  0.333  0.667  0.500
Sc  0.667  0.333  0.000
Sc  0.667  0.333  0.500
Sc  0.766  0.000  0.750
Sc  0.766  0.766  0.250
Tl  0.000  0.400  0.750
Tl  0.000  0.600  0.250
Tl  0.400  0.000  0.750
Tl  0.400  0.400  0.250
Tl  0.600  0.000  0.250
Tl  0.600  0.600  0.750

=====

8.
VASP calculation (GGA-PBEsol) on a relaxed Sc2Tl crystal.

ΔH_f (0 K): -285 meV/atom
E_tot: -5.57 eV/atom
Magnetization: 0.000 Bohr magnetons per cell

abc: 14.492 14.492 14.492
angles: 162.74 162.74 24.50
Sites, in units of the cell vectors:
Sc  0.039  0.789  0.250
Sc  0.119  0.369  0.750
Sc  0.211  0.961  0.250
Sc  0.369  0.119  0.250
Sc  0.631  0.881  0.750
Sc  0.789  0.039  0.750
Sc  0.881  0.631  0.250
Sc  0.961  0.211  0.750
Tl  0.297  0.547  0.750
Tl  0.453  0.703  0.750
Tl  0.547  0.297  0.250
Tl  0.703  0.453  0.250